No. 1
A plane-wave DFT calculation with PBE was carried out for an optimized crystal structure of KSiAgSe2.

Geometry as POSCAR:
```
KSiAgSe2
1.0
5.1662 0.0000 0.0000
0.0000 5.4400 0.0000
0.0000 0.0000 5.1662
K Si Se Ag
1 1 2 1
direct
0.0000 0.5000 0.0000 K
0.5000 0.5000 0.5000 Si
0.0000 0.0000 0.5000 Se
0.5000 0.0000 0.0000 Se
0.0000 0.0000 0.0000 Ag
```

total magnetic moment: 0.66 μB per formula unit
SG: P4/mmm
formation energy without anion corrections: 0.51 eV per atom

No. 2
A plane-wave DFT calculation with PBE was carried out for an optimized crystal structure of BeSiSe.

Geometry as POSCAR:
```
BeSiSe
1.0
-2.2373 2.4066 1.7191
-2.1453 -1.1571 2.7962
6.5789 2.3293 6.9188
Be Si Se
2 2 2
direct
0.5142 0.8231 0.1069 Be
0.4337 0.7591 0.6144 Be
0.5192 0.8406 0.3525 Si
0.1705 0.4948 0.4420 Si
0.0824 0.4101 0.6980 Se
0.8568 0.1640 0.0496 Se
```

total magnetic moment: 0.00 μB per formula unit
distance to the lowest polymorph of the same formula: 165 meV per atom
SG: P1
formation energy without anion corrections: -0.24 eV per atom

No. 3
A plane-wave DFT calculation with PBE was carried out for an optimized crystal structure of Li3Pa2TaN6.

Geometry as POSCAR:
```
Li3Pa2TaN6
1.0
-1.4663 4.6484 3.3565
3.0144 -4.5540 2.2802
3.9156 2.2515 -2.9488
Li Pa Ta N
3 2 1 6
direct
0.1343 0.8657 0.5000 Li
0.8657 0.1343 0.5000 Li
0.5000 0.5000 0.5000 Li
0.3327 0.6673 0.0000 Pa
0.6673 0.3327 0.0000 Pa
0.0000 0.0000 0.0000 Ta
0.9331 0.6220 0.7909 N
0.7491 0.7491 0.2154 N
0.0669 0.3780 0.2091 N
0.6220 0.9331 0.7909 N
0.2509 0.2509 0.7846 N
0.3780 0.0669 0.2091 N
```

total magnetic moment: 0.00 μB per formula unit
SG: C2/m
formation energy without anion corrections: -1.20 eV per atom

No. 4
A plane-wave DFT calculation with PBE was carried out for an optimized crystal structure of Li2AlAg2.

Geometry as POSCAR:
```
Li2AlAg2
1.0
-1.9092 -5.1223 4.3496
3.5918 -4.5995 -3.8400
2.8360 0.5927 1.9428
Al Ag Li
2 4 4
direct
0.0000 0.0000 0.0000 Al
0.5000 0.5000 0.0000 Al
0.3551 0.8551 0.0000 Ag
0.8551 0.6449 0.0000 Ag
0.6449 0.1449 0.0000 Ag
0.1449 0.3551 0.0000 Ag
0.1585 0.6585 0.5000 Li
0.6585 0.8415 0.5000 Li
0.8415 0.3415 0.5000 Li
0.3415 0.1585 0.5000 Li
```

total magnetic moment: 0.00 μB per formula unit
distance to the lowest polymorph of the same formula: 98 meV per atom
SG: P4/mbm

No. 5
A plane-wave DFT calculation with PBE was carried out for an optimized crystal structure of LaNd5Sm12.

Geometry as POSCAR:
```
LaNd5Sm12
1.0
10.9642 0.0016 0.0145
5.4823 9.4542 -0.7930
-0.0081 -1.5768 6.1230
La Nd Sm
1 5 12
direct
0.0000 0.0000 0.0000 La
0.5000 0.0000 0.5000 Nd
0.1671 0.6660 0.4991 Nd
0.8329 0.3340 0.5009 Nd
0.6669 0.6663 0.0002 Nd
0.3331 0.3337 0.9998 Nd
0.8321 0.0000 0.5003 Sm
0.1679 0.0000 0.4997 Sm
0.6663 0.0000 0.0003 Sm
0.3337 0.0000 0.9997 Sm
0.3349 0.6655 0.9992 Sm
0.9998 0.6656 0.9996 Sm
0.0003 0.3344 0.0004 Sm
0.6651 0.3345 0.0008 Sm
0.5004 0.3332 0.4993 Sm
0.8337 0.6668 0.5011 Sm
0.1663 0.3332 0.4989 Sm
0.4996 0.6668 0.5007 Sm
```

total magnetic moment: 0.00 μB per formula unit
SG: C2/m
total energy: -4.729 eV/atom

No. 6
A plane-wave DFT calculation with PBE was carried out for an optimized crystal structure of Be2AuBr.

Geometry as POSCAR:
```
Be2AuBr
1.0
-6.5785 1.9616 -0.2219
-5.1793 1.4614 4.2677
6.5532 0.5545 -1.9805
Be Au Br
2 1 1
direct
0.0000 0.0000 0.0000 Be
0.2500 0.7500 0.5000 Be
0.7500 0.2500 0.5000 Au
0.5000 0.5000 0.0000 Br
```

total magnetic moment: 0.00 μB per formula unit
distance to the lowest polymorph of the same formula: 558 meV per atom
SG: I-4m2
formation energy without anion corrections: 0.41 eV per atom

No. 7
A plane-wave DFT calculation with PBE was carried out for an optimized crystal structure of CsLa3Pr2Te6.

Geometry as POSCAR:
```
CsLa3Pr2Te6
1.0
-1.2186 4.3318 -0.9450
-9.1802 -2.4739 0.4984
2.8096 0.5382 10.0308
Cs La Pr Te
1 3 2 6
direct
0.5000 0.0000 0.0000 Cs
0.5000 0.5000 0.0000 La
0.8386 0.1760 0.6772 La
0.1614 0.8240 0.3228 La
0.8274 0.6502 0.6547 Pr
0.1726 0.3498 0.3453 Pr
0.3227 0.9082 0.6453 Te
0.6649 0.5846 0.3298 Te
0.6773 0.0918 0.3547 Te
0.0054 0.2761 0.0109 Te
0.9946 0.7239 0.9891 Te
0.3351 0.4154 0.6702 Te
```

total magnetic moment: 0.00 μB per formula unit
SG: C2/m
formation energy without anion corrections: -1.44 eV per atom

No. 8
A plane-wave DFT calculation with PBE was carried out for an optimized crystal structure of Ba3Ho3MgTe8.

Geometry as POSCAR:
```
Ba3Ho3MgTe8
1.0
8.9925 -0.0017 0.0020
-4.4977 7.7884 -0.0300
0.0027 -5.1637 7.9768
Ba Ho Mg Te
3 3 1 8
direct
0.0000 0.0000 0.0000 Ba
0.0000 0.5000 0.0000 Ba
0.5000 0.5000 0.0000 Ba
0.5000 0.0000 0.5000 Ho
0.5000 0.5000 0.5000 Ho
0.0000 0.5000 0.5000 Ho
0.0000 0.0000 0.5000 Mg
0.2618 0.5235 0.2852 Te
0.7382 0.4765 0.7148 Te
0.7638 0.5275 0.2903 Te
0.2362 0.4725 0.7097 Te
0.7638 0.0264 0.2902 Te
0.2362 0.9736 0.7098 Te
0.2627 0.0265 0.2902 Te
0.7373 0.9735 0.7098 Te
```

total magnetic moment: 0.00 μB per formula unit
SG: R-3m
formation energy without anion corrections: -1.43 eV per atom

No. 9
A plane-wave DFT calculation with PBE was carried out for an optimized crystal structure of CaZr3Se.

Geometry as POSCAR:
```
CaZr3Se
1.0
-2.7541 -4.1144 1.2590
4.2912 -2.7360 0.4460
0.3151 1.2980 4.9310
Ca Se Zr
1 1 3
direct
0.0000 0.0000 0.0000 Ca
0.5000 0.5000 0.5000 Se
0.0000 0.5000 0.0000 Zr
0.0000 0.0000 0.5000 Zr
0.5000 0.0000 0.0000 Zr
```

total magnetic moment: 1.58 μB per formula unit
distance to the lowest polymorph of the same formula: 1681 meV per atom
SG: Pm-3m
formation energy without anion corrections: 1.55 eV per atom

No. 10
A plane-wave DFT calculation with PBE was carried out for an optimized crystal structure of SrZr2As.

Geometry as POSCAR:
```
SrZr2As
1.0
-3.7004 -5.4004 6.9722
-0.4897 -4.2730 8.5422
-3.5101 -2.0574 8.6553
Sr As Zr
1 1 2
direct
0.7500 0.7500 0.7500 Sr
0.2500 0.2500 0.2500 As
0.9716 0.9716 0.9716 Zr
0.5284 0.5284 0.5284 Zr
```

total magnetic moment: 0.04 μB per formula unit
SG: R-3m
total energy: -6.103 eV/atom

No. 11
A plane-wave DFT calculation with PBE was carried out for an optimized crystal structure of ZrHBr3.

Geometry as POSCAR:
```
ZrHBr3
1.0
8.3240 -0.9058 3.3982
-4.8751 6.8076 -3.3982
-0.9946 -3.3775 8.3223
Zr H Br
2 2 6
direct
0.4754 0.0165 0.9589 Zr
0.0576 0.5165 0.0411 Zr
0.3565 0.8079 0.0485 H
0.7594 0.3079 0.9515 H
0.1983 0.3193 0.8432 Br
0.1983 0.8551 0.3790 Br
0.4761 0.8193 0.6210 Br
0.7897 0.1595 0.1302 Br
0.4761 0.3551 0.1568 Br
0.0292 0.6595 0.8698 Br
```

total magnetic moment: 0.00 μB per formula unit
distance to the lowest polymorph of the same formula: 0 meV per atom
SG: Ima2

No. 12
A plane-wave DFT calculation with PBE was carried out for an optimized crystal structure of Cu2Se3.

Geometry as POSCAR:
```
Cu2Se3
1.0
9.8937 2.0210 3.1027
6.4730 6.5180 1.0555
1.8559 -1.9452 5.3746
Cu Se
4 6
direct
0.3704 0.5245 0.3498 Cu
0.7554 0.3498 0.5245 Cu
0.7255 0.8796 0.4946 Cu
0.9002 0.4946 0.8796 Cu
0.2623 0.3886 0.6337 Se
0.7154 0.6337 0.3886 Se
0.8614 0.9877 0.5346 Se
0.6163 0.5346 0.9877 Se
0.8965 0.1035 0.1035 Se
0.1465 0.3535 0.3535 Se
```

total magnetic moment: 0.00 μB per formula unit
SG: Fdd2
formation energy without anion corrections: -0.03 eV per atom

No. 13
A plane-wave DFT calculation with PBE was carried out for an optimized crystal structure of KLiTl2.

Geometry as POSCAR:
```
KLiTl2
1.0
-0.5491 3.5601 -4.0681
-3.9748 3.1669 -1.9229
1.1441 5.9794 2.9230
K Li Tl
1 1 2
direct
0.4992 0.4992 0.4962 K
0.7201 0.7201 0.8764 Li
0.0087 0.0087 0.9603 Tl
0.2720 0.2720 0.1671 Tl
```

total magnetic moment: 0.00 μB per formula unit
distance to the lowest polymorph of the same formula: 67 meV per atom
SG: Cm

No. 14
A plane-wave DFT calculation with PBE was carried out for an optimized crystal structure of Sm2Dy9Y.

Geometry as POSCAR:
```
Sm2Dy9Y
1.0
-2.4159 0.2932 2.5167
-8.1408 -0.7531 -7.7269
3.9789 -9.3094 4.9039
Sm Dy Y
2 9 1
direct
0.0000 0.3333 0.6667 Sm
0.0000 0.6667 0.3333 Sm
0.0000 0.0000 0.5000 Dy
0.0000 0.5000 0.5000 Dy
0.0000 0.5000 0.0000 Dy
0.5000 0.3494 0.1747 Dy
0.5000 0.1747 0.8253 Dy
0.5000 0.1747 0.3494 Dy
0.5000 0.8253 0.6506 Dy
0.5000 0.8253 0.1747 Dy
0.5000 0.6506 0.8253 Dy
0.0000 0.0000 0.0000 Y
```

total magnetic moment: 0.00 μB per formula unit
distance to the lowest polymorph of the same formula: 36 meV per atom
SG: P6/mmm

No. 15
A plane-wave DFT calculation with PBE was carried out for an optimized crystal structure of Tc3Ru.

Geometry as POSCAR:
```
Tc3Ru
1.0
5.4815 0.0000 0.0000
0.0000 4.7624 0.0000
0.0000 0.0001 13.2465
Ru Tc
6 18
direct
0.2500 0.0005 0.2500 Ru
0.2500 0.6651 0.5839 Ru
0.2500 0.6651 0.9161 Ru
0.7500 0.9995 0.7500 Ru
0.7500 0.3349 0.0839 Ru
0.7500 0.3349 0.4161 Ru
0.0021 0.1635 0.5849 Tc
0.0021 0.1635 0.9150 Tc
0.0009 0.5042 0.2500 Tc
0.9991 0.4958 0.7500 Tc
0.9979 0.8365 0.0850 Tc
0.9979 0.8365 0.4150 Tc
0.2500 0.9993 0.7500 Tc
0.2500 0.3345 0.0854 Tc
0.2500 0.3345 0.4146 Tc
0.4979 0.1635 0.5849 Tc
0.4979 0.1635 0.9150 Tc
0.4991 0.5042 0.2500 Tc
0.5009 0.4958 0.7500 Tc
0.5021 0.8365 0.0850 Tc
0.5021 0.8365 0.4150 Tc
0.7500 0.0007 0.2500 Tc
0.7500 0.6655 0.5854 Tc
0.7500 0.6655 0.9146 Tc
```

total magnetic moment: 0.00 μB per formula unit
distance to the lowest polymorph of the same formula: 61 meV per atom
SG: Pmmn

No. 16
A plane-wave DFT calculation with PBE was carried out for an optimized crystal structure of NdHo2Er6.

Geometry as POSCAR:
```
NdHo2Er6
1.0
3.3865 -0.6773 -0.1509
0.9841 5.2568 -1.5998
-3.4498 -3.2572 16.4038
Nd Ho Er
1 2 6
direct
0.5000 0.5000 0.5000 Nd
0.8357 0.5013 0.8343 Ho
0.1643 0.4987 0.1657 Ho
0.4465 0.1689 0.9460 Er
0.5535 0.8311 0.0540 Er
0.7727 0.1619 0.2745 Er
0.1146 0.1696 0.6132 Er
0.2273 0.8381 0.7255 Er
0.8854 0.8304 0.3868 Er
```

total magnetic moment: 0.00 μB per formula unit
SG: C2/m
total energy: -4.514 eV/atom

No. 17
A plane-wave DFT calculation with PBE was carried out for an optimized crystal structure of LaDy2Zn.

Geometry as POSCAR:
```
LaDy2Zn
1.0
5.0442 0.0000 0.0000
2.5221 4.3684 0.0000
2.5221 1.4561 5.2906
Zn La Dy
1 1 2
direct
0.0000 0.0000 0.0000 Zn
0.5000 0.5000 0.5000 La
0.2754 0.2754 0.1737 Dy
0.7246 0.7246 0.8263 Dy
```

total magnetic moment: 0.00 μB per formula unit
distance to the lowest polymorph of the same formula: 271 meV per atom
SG: R-3m

No. 18
A plane-wave DFT calculation with PBE was carried out for an optimized crystal structure of Mn4CuIr.

Geometry as POSCAR:
```
Mn4CuIr
1.0
-1.8436 2.3869 3.5326
-0.2715 4.6319 -0.2176
-4.1316 2.0635 -0.4967
Mn Cu Ir
4 1 1
direct
0.3764 0.8707 0.3764 Mn
0.8707 0.3764 0.3764 Mn
0.3764 0.3764 0.8707 Mn
0.3764 0.3764 0.3764 Mn
0.7500 0.7500 0.7500 Cu
0.0000 0.0000 0.0000 Ir
```

total magnetic moment: 1.41 μB per formula unit
SG: F-43m
total energy: -8.096 eV/atom

No. 19
A plane-wave DFT calculation with PBE was carried out for an optimized crystal structure of PmTmTe6.

Geometry as POSCAR:
```
PmTmTe6
1.0
4.2881 0.0000 -0.7367
0.0000 4.3528 0.0000
0.1322 0.0000 13.6181
Pm Tm Te
1 1 6
direct
0.1728 0.5000 0.3455 Pm
0.8277 0.0000 0.6554 Tm
0.5775 0.5000 0.1549 Te
0.4202 0.0000 0.8404 Te
0.2944 0.5000 0.5888 Te
0.7098 0.0000 0.4196 Te
0.9201 0.5000 0.8403 Te
0.0775 0.0000 0.1551 Te
```

total magnetic moment: 0.00 μB per formula unit
SG: Amm2
formation energy without anion corrections: -0.92 eV per atom

No. 20
A plane-wave DFT calculation with PBE was carried out for an optimized crystal structure of SmHo4Cu.

Geometry as POSCAR:
```
SmHo4Cu
1.0
3.5092 0.0000 0.0000
0.0000 3.5092 0.0000
0.0000 0.0000 13.6740
Sm Ho Cu
1 4 1
direct
0.0000 0.0000 0.0000 Sm
0.5000 0.5000 0.1868 Ho
0.0000 0.0000 0.6234 Ho
0.0000 0.0000 0.3766 Ho
0.5000 0.5000 0.8132 Ho
0.5000 0.5000 0.5000 Cu
```

total magnetic moment: 0.00 μB per formula unit
SG: P4/mmm
total energy: -4.577 eV/atom